[1]
BiTeIrI2 | PBE-GGA | relaxed

abc: 5.380 5.380 5.302
angles: 90.00 90.00 90.00
Positions (direct):
I 0.000 0.500 0.000
I 0.500 0.000 0.000
Ir 0.000 0.000 0.000
Te 0.000 0.000 0.500
Bi 0.500 0.500 0.500

excess energy over the best structure of this formula in the dataset	0	meV per atom
total magnetic moment	0.00	μB per formula unit
E_tot	-17.050	eV for the cell shown

***

[2]
GaPIO2 | PBE-GGA | relaxed

abc: 3.853 3.853 5.710
angles: 90.00 90.00 90.00
Positions (direct):
I 0.000 0.000 0.500
P 0.000 0.000 0.000
O 0.000 0.500 0.000
O 0.500 0.000 0.000
Ga 0.500 0.500 0.500

excess energy over the best structure of this formula in the dataset	0	meV per atom
total magnetic moment	0.00	μB per formula unit
E_tot	-20.442	eV for the cell shown

***

[3]
BaCaNd4 | PBE-GGA | relaxed

abc: 7.062 7.062 7.062
angles: 60.00 60.00 60.00
Positions (direct):
Ca 0.000 0.000 0.000
Nd 0.627 0.627 0.118
Nd 0.627 0.118 0.627
Nd 0.627 0.627 0.627
Nd 0.118 0.627 0.627
Ba 0.250 0.250 0.250

total magnetic moment	0.00	μB per formula unit
formation energy from the elements	0.21	eV/atom
E_tot	-21.746	eV for the cell shown

***

[4]
FeSi2H | PBE-GGA | relaxed

abc: 4.253 4.253 6.097
angles: 69.59 69.59 90.00
Site moments in Bohr magnetons follow the coordinates.
Positions (direct):
H 0.500 0.500 0.000  0.00
H 0.250 0.750 0.500  0.00
Si 0.522 0.125 0.250  -0.02
Si 0.228 0.625 0.250  -0.02
Si 0.375 0.478 0.750  -0.02
Si 0.875 0.772 0.750  -0.02
Fe 0.000 0.000 0.000  1.05
Fe 0.750 0.250 0.500  1.01

excess energy over the best structure of this formula in the dataset	196	meV per atom
total magnetic moment	0.93	μB per formula unit
E_tot	-40.791	eV for the cell shown

***

[5]
LaRh2Pb | PBE-GGA | relaxed

abc: 4.959 4.959 4.959
angles: 60.00 60.00 60.00
Positions (direct):
La 0.500 0.500 0.500
Rh 0.000 0.000 0.000
Rh 0.250 0.250 0.250
Pb 0.750 0.750 0.750

total magnetic moment	0.00	μB per formula unit
formation energy from the elements	-0.04	eV/atom
E_tot	-23.506	eV for the cell shown

***

[6]
LiEuBi | PBE-GGA | relaxed

abc: 4.452 4.452 5.556
angles: 113.62 113.62 90.00
Site moments in Bohr magnetons follow the coordinates.
Positions (direct):
Eu 0.959 0.959 0.918  -6.88
Bi 0.605 0.605 0.209  0.11
Li 0.287 0.287 0.573  -0.01

total magnetic moment	6.99	μB per formula unit
formation energy from the elements	-0.50	eV/atom
E_tot	-17.569	eV for the cell shown

***

[7]
K2RhO4 | PBE-GGA | relaxed

abc: 6.106 7.005 7.670
angles: 113.20 90.00 115.84
Site moments in Bohr magnetons follow the coordinates.
Positions (direct):
K 0.482 0.965 0.760  0.00
K 0.518 0.035 0.240  0.00
K 0.843 0.686 0.243  0.00
K 0.157 0.314 0.757  0.00
Rh 0.822 0.644 0.771  0.42
Rh 0.178 0.356 0.229  0.42
O 0.615 0.715 0.924  0.14
O 0.899 0.285 0.076  0.14
O 0.385 0.285 0.076  0.14
O 0.101 0.715 0.924  0.14
O 0.090 0.179 0.363  0.12
O 0.910 0.821 0.637  0.12
O 0.662 0.325 0.629  0.12
O 0.338 0.675 0.371  0.12

excess energy over the best structure of this formula in the dataset	0	meV per atom
total magnetic moment	1.05	μB per formula unit
E_tot	-72.418	eV for the cell shown

***

[8]
MgNbTl2 | PBE-GGA | relaxed

abc: 3.207 3.207 11.018
angles: 81.63 81.63 60.00
Positions (direct):
Mg 0.500 0.500 0.500
Tl 0.088 0.088 0.735
Tl 0.912 0.912 0.265
Nb 0.000 0.000 0.000

total magnetic moment	0.00	μB per formula unit
formation energy from the elements	0.51	eV/atom
E_tot	-14.352	eV for the cell shown

***

[9]
CePuIr | PBE-GGA | relaxed

abc: 7.355 8.680 8.680
angles: 59.47 64.93 64.93
Site moments in Bohr magnetons follow the coordinates.
Positions (direct):
Ce 0.206 0.028 0.528  -0.15
Ce 0.763 0.972 0.472  -0.15
Ce 0.334 0.755 0.255  -0.11
Ce 0.344 0.245 0.745  -0.11
Ce 0.743 0.444 0.944  -0.59
Ce 0.131 0.556 0.056  -0.59
Pu 0.996 0.000 0.000  5.01
Pu 0.996 0.500 0.500  5.01
Pu 0.768 0.400 0.334  -5.09
Pu 0.501 0.600 0.666  -5.09
Pu 0.501 0.166 0.100  -5.09
Pu 0.768 0.834 0.900  -5.09
Ir 0.779 0.205 0.705  0.06
Ir 0.689 0.795 0.295  0.06
Ir 0.100 0.153 0.166  0.03
Ir 0.420 0.847 0.834  0.03
Ir 0.420 0.334 0.347  0.03
Ir 0.100 0.666 0.653  0.03

excess energy over the best structure of this formula in the dataset	0	meV per atom
total magnetic moment	2.11	μB per formula unit
formation energy from the elements	-0.48	eV/atom
E_tot	-183.471	eV for the cell shown

***

[10]
Tl2As3 | PBE-GGA | relaxed

abc: 4.510 4.510 8.656
angles: 90.00 90.00 120.00
Positions (direct):
Tl 0.667 0.333 0.163
Tl 0.333 0.667 0.837
As 0.000 0.000 0.000
As 0.667 0.333 0.496
As 0.333 0.667 0.504

excess energy over the best structure of this formula in the dataset	28	meV per atom
total magnetic moment	0.00	μB per formula unit
formation energy from the elements	0.15	eV/atom
E_tot	-17.910	eV for the cell shown

***

[11]
AcPrSmEr | PBE-GGA | relaxed

abc: 3.740 3.740 11.959
angles: 90.00 90.00 120.00
Positions (direct):
Ac 0.333 0.667 0.919
Pr 0.667 0.333 0.185
Sm 0.000 0.000 0.431
Er 0.667 0.333 0.665

excess energy over the best structure of this formula in the dataset	0	meV per atom
total magnetic moment	0.00	μB per formula unit
formation energy from the elements	0.05	eV/atom
E_tot	-17.973	eV for the cell shown

***

[12]
ZrNbTe2I | PBE-GGA | relaxed

abc: 5.431 5.431 5.496
angles: 90.00 90.00 90.00
Site moments in Bohr magnetons follow the coordinates.
Positions (direct):
I 0.000 0.000 0.500  -0.02
Nb 0.000 0.000 0.000  1.18
Te 0.000 0.500 0.000  -0.11
Te 0.500 0.000 0.000  -0.11
Zr 0.500 0.500 0.500  1.51

excess energy over the best structure of this formula in the dataset	0	meV per atom
total magnetic moment	3.58	μB per formula unit
E_tot	-23.820	eV for the cell shown